The following is a PBE+U calculation of crystalline RbPu2WO8 at its relaxed geometry, from Alexandria.

POSCAR file:
```
RbPu2WO8
1.0
4.122 -3.408 0.000
4.122 3.408 0.000
-1.698 0.000 7.308
Rb Pu W O
1 2 1 8
Cartesian
0.000 0.000 0.000
2.444 0.000 5.580
4.103 0.000 1.728
-0.849 0.000 3.654
3.534 2.030 2.316
3.013 2.030 4.992
1.104 0.000 4.048
2.873 0.000 0.122
3.674 0.000 7.186
5.443 0.000 3.260
3.534 -2.030 2.316
3.013 -2.030 4.992
```

**VASP energy**: -104.51 eV for the cell shown